# 1
Density functional theory data (PBE) for a geometry-optimized Al2Pb structure.

Calculated values
Its magnetic moment is 0.00 μB per formula unit. The calculated formation energy is 0.214 eV per atom.

Structure (CIF):
```
data_Al2Pb
_cell_length_a 6.3257
_cell_length_b 6.3257
_cell_length_c 6.3257
_cell_angle_alpha 130.54
_cell_angle_beta 130.54
_cell_angle_gamma 72.55
_space_group_name_H-M_alt 'P 1'
_space_group_IT_number 1
_space_group_name_Hall 'P 1'
loop_
_atom_site_label
_atom_site_fract_x
_atom_site_fract_y
_atom_site_fract_z
Al1 0.1839 0.6839 0.8678
Al2 0.3161 0.1839 0.5000
Al3 0.6839 0.8161 0.5000
Al4 0.8161 0.3161 0.1322
Pb1 0.2500 0.2500 0.0000
Pb2 0.7500 0.7500 0.0000
```

---

# 2
Density functional theory data (PBE) for a geometry-optimized AlPb3 structure.

Calculated values
Its magnetic moment is 0.00 μB per formula unit. The calculated formation energy is 0.184 eV per atom.

Structure (CIF):
```
data_AlPb3
_cell_length_a 5.9883
_cell_length_b 5.9883
_cell_length_c 3.4250
_cell_angle_alpha 90.00
_cell_angle_beta 90.00
_cell_angle_gamma 110.21
_space_group_name_H-M_alt 'P 1'
_space_group_IT_number 1
_space_group_name_Hall 'P 1'
loop_
_atom_site_label
_atom_site_fract_x
_atom_site_fract_y
_atom_site_fract_z
Al1 0.0000 0.0000 0.0000
Pb1 0.0000 0.5000 0.5000
Pb2 0.5000 0.0000 0.5000
Pb3 0.5000 0.5000 0.0000
```

---

# 3
Density functional theory data (PBE) for a geometry-optimized AlPb3 structure.

Calculated values
Its magnetic moment is 0.00 μB per formula unit. The calculated formation energy is 0.191 eV per atom.

Structure (CIF):
```
data_AlPb3
_cell_length_a 3.4476
_cell_length_b 5.1212
_cell_length_c 6.6485
_cell_angle_alpha 90.00
_cell_angle_beta 90.00
_cell_angle_gamma 90.00
_space_group_name_H-M_alt 'P 1'
_space_group_IT_number 1
_space_group_name_Hall 'P 1'
loop_
_atom_site_label
_atom_site_fract_x
_atom_site_fract_y
_atom_site_fract_z
Al1 0.0000 0.0000 0.0000
Pb1 0.0000 0.5000 0.3011
Pb2 0.5000 0.0000 0.5569
Pb3 0.5000 0.5000 0.8722
```

---

# 4
Density functional theory data (PBE) for a geometry-optimized AlPb3 structure.

Calculated values
Its magnetic moment is 0.00 μB per formula unit. The calculated formation energy is 0.129 eV per atom.

Structure (CIF):
```
data_AlPb3
_cell_length_a 3.4233
_cell_length_b 3.4671
_cell_length_c 9.5359
_cell_angle_alpha 90.00
_cell_angle_beta 90.00
_cell_angle_gamma 90.00
_space_group_name_H-M_alt 'P 1'
_space_group_IT_number 1
_space_group_name_Hall 'P 1'
loop_
_atom_site_label
_atom_site_fract_x
_atom_site_fract_y
_atom_site_fract_z
Al1 0.0000 0.0000 0.0000
Pb1 0.0000 0.0000 0.5000
Pb2 0.5000 0.5000 0.2201
Pb3 0.5000 0.5000 0.7799
```

---

# 5
Density functional theory data (PBE) for a geometry-optimized Al2Pb structure.

Calculated values
Its magnetic moment is 0.00 μB per formula unit. The calculated formation energy is 0.261 eV per atom.

Structure (CIF):
```
data_Al2Pb
_cell_length_a 3.2680
_cell_length_b 3.2680
_cell_length_c 7.3927
_cell_angle_alpha 90.00
_cell_angle_beta 90.00
_cell_angle_gamma 120.00
_space_group_name_H-M_alt 'P 1'
_space_group_IT_number 1
_space_group_name_Hall 'P 1'
loop_
_atom_site_label
_atom_site_fract_x
_atom_site_fract_y
_atom_site_fract_z
Al1 0.3333 0.6667 0.3618
Al2 0.6667 0.3333 0.6382
Pb1 0.0000 0.0000 0.0000
```

---

# 6
Density functional theory data (PBE) for a geometry-optimized AlPb structure.

Calculated values
Its magnetic moment is 0.00 μB per formula unit. The calculated formation energy is 0.183 eV per atom.

Structure (CIF):
```
data_AlPb
_cell_length_a 7.6193
_cell_length_b 7.6193
_cell_length_c 7.6193
_cell_angle_alpha 93.77
_cell_angle_beta 93.77
_cell_angle_gamma 150.28
_space_group_name_H-M_alt 'P 1'
_space_group_IT_number 1
_space_group_name_Hall 'P 1'
loop_
_atom_site_label
_atom_site_fract_x
_atom_site_fract_y
_atom_site_fract_z
Al1 0.0187 0.6348 0.6535
Al2 0.3652 0.0187 0.3839
Al3 0.6348 0.9813 0.6161
Al4 0.9813 0.3652 0.3465
Pb1 0.3122 0.6328 0.9450
Pb2 0.3672 0.3122 0.6794
Pb3 0.6328 0.6878 0.3206
Pb4 0.6878 0.3672 0.0550
```

---

# 7
Density functional theory data (PBE) for a geometry-optimized AlPb structure.

Calculated values
Its magnetic moment is 0.00 μB per formula unit. The calculated formation energy is 0.572 eV per atom.

Structure (CIF):
```
data_AlPb
_cell_length_a 7.9258
_cell_length_b 7.9258
_cell_length_c 7.9258
_cell_angle_alpha 90.00
_cell_angle_beta 90.00
_cell_angle_gamma 90.00
_space_group_name_H-M_alt 'P 1'
_space_group_IT_number 1
_space_group_name_Hall 'P 1'
loop_
_atom_site_label
_atom_site_fract_x
_atom_site_fract_y
_atom_site_fract_z
Al1 0.0000 0.2500 0.5000
Al2 0.0000 0.7500 0.5000
Al3 0.2500 0.5000 0.0000
Al4 0.5000 0.0000 0.2500
Al5 0.5000 0.0000 0.7500
Al6 0.7500 0.5000 0.0000
Pb1 0.0000 0.5000 0.2500
Pb2 0.0000 0.5000 0.7500
Pb3 0.2500 0.0000 0.5000
Pb4 0.5000 0.2500 0.0000
Pb5 0.5000 0.7500 0.0000
Pb6 0.7500 0.0000 0.5000
```

---

# 8
Density functional theory data (PBE) for a geometry-optimized AlPb structure.

Calculated values
Its magnetic moment is 0.00 μB per formula unit. The calculated formation energy is 0.381 eV per atom.

Structure (CIF):
```
data_AlPb
_cell_length_a 9.1333
_cell_length_b 9.1333
_cell_length_c 9.1333
_cell_angle_alpha 91.72
_cell_angle_beta 91.72
_cell_angle_gamma 160.02
_space_group_name_H-M_alt 'P 1'
_space_group_IT_number 1
_space_group_name_Hall 'P 1'
loop_
_atom_site_label
_atom_site_fract_x
_atom_site_fract_y
_atom_site_fract_z
Al1 0.1628 0.2257 0.3885
Al2 0.2257 0.8372 0.0629
Al3 0.7743 0.1628 0.9371
Al4 0.8372 0.7743 0.6115
Pb1 0.0472 0.6794 0.7266
Pb2 0.3206 0.0472 0.3678
Pb3 0.6794 0.9528 0.6322
Pb4 0.9528 0.3206 0.2734
```

---

# 9
Density functional theory data (PBE) for a geometry-optimized AlPb structure.

Calculated values
Its magnetic moment is 0.00 μB per formula unit. The calculated formation energy is 0.447 eV per atom.

Structure (CIF):
```
data_AlPb
_cell_length_a 4.1641
_cell_length_b 4.1641
_cell_length_c 8.4123
_cell_angle_alpha 90.00
_cell_angle_beta 90.00
_cell_angle_gamma 120.00
_space_group_name_H-M_alt 'P 1'
_space_group_IT_number 1
_space_group_name_Hall 'P 1'
loop_
_atom_site_label
_atom_site_fract_x
_atom_site_fract_y
_atom_site_fract_z
Al1 0.3333 0.6667 0.0000
Al2 0.6667 0.3333 0.5000
Pb1 0.3333 0.6667 0.3271
Pb2 0.6667 0.3333 0.8271
```

---

# 10
Density functional theory data (PBE) for a geometry-optimized AlPb2 structure.

Calculated values
Its magnetic moment is 0.00 μB per formula unit. The calculated formation energy is 0.183 eV per atom.

Structure (CIF):
```
data_AlPb2
_cell_length_a 13.5282
_cell_length_b 13.5282
_cell_length_c 13.5282
_cell_angle_alpha 164.74
_cell_angle_beta 164.74
_cell_angle_gamma 21.65
_space_group_name_H-M_alt 'P 1'
_space_group_IT_number 1
_space_group_name_Hall 'P 1'
loop_
_atom_site_label
_atom_site_fract_x
_atom_site_fract_y
_atom_site_fract_z
Al1 0.3750 0.6250 0.7500
Al2 0.6250 0.3750 0.2500
Pb1 0.0571 0.8071 0.2500
Pb2 0.1929 0.9429 0.2500
Pb3 0.8071 0.0571 0.7500
Pb4 0.9429 0.1929 0.7500
```

---

# 11
Density functional theory data (PBE) for a geometry-optimized AlPb structure.

Calculated values
Its magnetic moment is 0.00 μB per formula unit. The calculated formation energy is 0.310 eV per atom.

Structure (CIF):
```
data_AlPb
_cell_length_a 3.3813
_cell_length_b 3.3813
_cell_length_c 5.1280
_cell_angle_alpha 90.00
_cell_angle_beta 90.00
_cell_angle_gamma 120.00
_space_group_name_H-M_alt 'P 1'
_space_group_IT_number 1
_space_group_name_Hall 'P 1'
loop_
_atom_site_label
_atom_site_fract_x
_atom_site_fract_y
_atom_site_fract_z
Al1 0.0000 0.0000 0.0000
Pb1 0.6667 0.3333 0.5000
```

---

# 12
Density functional theory data (PBE) for a geometry-optimized AlPb structure.

Calculated values
Its magnetic moment is 0.00 μB per formula unit. The calculated formation energy is 0.350 eV per atom.

Structure (CIF):
```
data_AlPb
_cell_length_a 7.2437
_cell_length_b 7.2183
_cell_length_c 6.3458
_cell_angle_alpha 64.18
_cell_angle_beta 63.77
_cell_angle_gamma 52.05
_space_group_name_H-M_alt 'P 1'
_space_group_IT_number 1
_space_group_name_Hall 'P 1'
loop_
_atom_site_label
_atom_site_fract_x
_atom_site_fract_y
_atom_site_fract_z
Al1 0.0099 0.0099 0.2401
Al2 0.2401 0.2401 0.0099
Al3 0.7599 0.7599 0.9901
Al4 0.9901 0.9901 0.7599
Pb1 0.1939 0.5561 0.5561
Pb2 0.4439 0.8061 0.8061
Pb3 0.5561 0.1939 0.1939
Pb4 0.8061 0.4439 0.4439
```